[1]
PRhPb2, relaxed, DFT PBE-GGA; energy = -21.124 eV per cell; Fermi-level density of states = 2.1 states/eV/f.u.; energy relative to the elements = -22.8 kJ/mol of atoms
1.0
6.9387 -2.0349 0.0155
6.9387 2.0349 0.0155
6.3341 0.0000 3.4879
Rh Pb P
1 2 1
direct
0.4609 0.4609 0.4609
0.2218 0.2218 0.2218
0.0333 0.0333 0.0333
0.7940 0.7940 0.7940

---

[2]
ScCr2Mo, relaxed, DFT PBE-GGA; energy = -35.344 eV per cell; Fermi-level density of states = 4.9 states/eV/f.u.; energy relative to the elements = 25.7 kJ/mol of atoms; polymorph energy (0 for the lowest one) = 74 meV per atom
1.0
2.7183 -0.0006 0.0000
-0.9410 2.5503 0.0000
0.0000 0.0000 8.5866
Cr Sc Mo
2 1 1
direct
0.0000 0.0000 0.0312
0.5000 0.5000 0.2342
0.5000 0.5000 0.7622
0.0000 0.0000 0.4723

---

- What is the formula in the first record?
  PRhPb2

---

- Which of these has the lowest energy relative to the elements?
  PRhPb2